# AlCu2Os, optimized geometry, DFT PBE
data_AlCu2Os
_chemical_formula_sum 'Al1 Cu2 Os1'
_cell_length_a 2.635
_cell_length_b 4.006
_cell_length_c 5.194
_cell_angle_alpha 90.00
_cell_angle_beta 104.42
_cell_angle_gamma 90.00
_space_group_name_H-M_alt 'P 1'
_space_group_IT_number 1
_space_group_name_Hall 'P 1'
loop_
_atom_site_label
_atom_site_fract_x
_atom_site_fract_y
_atom_site_fract_z
Al1 0.000 0.000 0.000
Cu1 0.137 0.500 0.289
Cu2 0.739 0.000 0.487
Os1 0.399 0.500 0.798
# - DOS(E_F): 0.3305 states/eV/atom
# - Space group: No. 6
# - DFT total energy: -5.798 eV per atom
# - Magnetization: 0.0 μB/cell
# - ΔH_f (0 K): -7 meV per atom